Entry 1:
Density functional theory data (PBE-GGA) for a geometry-optimized Be2RuAu structure.

* total moment: 0.0 μB per cell
* offset from the most stable computed form: 204 meV/atom
* DFT formation energy: -0.065 eV per atom
* N(E_F): 2.9 states/eV per cell

Unit cell a=2.880 b=2.910 c=5.743 alpha=90.00 beta=90.00 gamma=90.00
Sites, in units of the cell vectors:
Be 0.000 0.000 0.000
Be 0.500 0.500 0.200
Ru 0.000 0.000 0.402
Au 0.500 0.500 0.757

***

Entry 2:
Density functional theory data (PBE-GGA) for a geometry-optimized Be2RuAu structure.

* total moment: 0.0 μB per cell
* offset from the most stable computed form: 289 meV/atom
* DFT formation energy: 0.020 eV per atom
* N(E_F): 1.5 states/eV per cell

Unit cell a=7.591 b=7.591 c=7.591 alpha=21.29 beta=21.29 gamma=21.29
Sites, in units of the cell vectors:
Be 0.244 0.244 0.244
Be 0.756 0.756 0.756
Ru 0.500 0.500 0.500
Au 0.000 0.000 0.000

***

Entry 3:
Density functional theory data (PBE-GGA) for a geometry-optimized BeRu4Au structure.

* total moment: 1.6 μB per cell
* DFT formation energy: 0.736 eV per atom
* N(E_F): 8.7 states/eV per cell

Unit cell a=5.077 b=5.077 c=5.077 alpha=60.00 beta=60.00 gamma=60.00
Sites, in units of the cell vectors:
Be 0.000 0.000 0.000
Ru 0.125 0.625 0.625
Ru 0.625 0.125 0.625
Ru 0.625 0.625 0.125
Ru 0.625 0.625 0.625
Au 0.250 0.250 0.250

***

Entry 4:
Density functional theory data (PBE-GGA) for a geometry-optimized BeRu2Au2 structure.

* total moment: 0.0 μB per cell
* offset from the most stable computed form: 493 meV/atom
* DFT formation energy: 0.876 eV per atom
* N(E_F): 5.3 states/eV per cell

Unit cell a=6.952 b=6.952 c=6.952 alpha=149.34 beta=149.34 gamma=43.91
Sites, in units of the cell vectors:
Be 0.000 0.000 0.000
Ru 0.413 0.413 0.000
Ru 0.587 0.587 0.000
Au 0.250 0.750 0.500
Au 0.750 0.250 0.500

***

Entry 5:
Density functional theory data (PBE-GGA) for a geometry-optimized BeRuAu2 structure.

* total moment: 0.5 μB per cell
* DFT formation energy: 0.168 eV per atom
* N(E_F): 3.6 states/eV per cell

Unit cell a=5.310 b=5.310 c=5.310 alpha=149.47 beta=128.91 gamma=60.69
Sites, in units of the cell vectors:
Be 0.000 0.000 0.000
Ru 0.203 0.703 0.500
Au 0.493 0.493 0.000
Au 0.785 0.285 0.500

***

Entry 6:
Density functional theory data (PBE-GGA) for a geometry-optimized Be2RuAu structure.

* total moment: 0.0 μB per cell
* offset from the most stable computed form: 9 meV/atom
* DFT formation energy: -0.260 eV per atom
* N(E_F): 1.4 states/eV per cell

Unit cell a=4.031 b=4.031 c=4.031 alpha=60.00 beta=60.00 gamma=60.00
Sites, in units of the cell vectors:
Be 0.250 0.250 0.250
Be 0.750 0.750 0.750
Ru 0.000 0.000 0.000
Au 0.500 0.500 0.500